Arrangement a

# TiNb3Au, optimized geometry, DFT GGA-PBEsol
# density = 7439 kg/m3
# crystal system = cubic
# space group = Pm-3m
data_TiNb3Au
_cell_length_a 4.889
_cell_length_b 4.889
_cell_length_c 4.889
_cell_angle_alpha 90.00
_cell_angle_beta 90.00
_cell_angle_gamma 90.00
_symmetry_space_group_name_H-M 'P 1'
_symmetry_Int_Tables_number 1
loop_
_symmetry_equiv_pos_as_xyz
'x,y,z'
loop_
_atom_site_label
_atom_site_type_symbol
_atom_site_fract_x
_atom_site_fract_y
_atom_site_fract_z
Nb1 Nb 0.000 0.500 0.000
Nb2 Nb 0.000 0.000 0.500
Nb3 Nb 0.500 0.000 0.000
Au1 Au 0.000 0.000 0.000
Ti1 Ti 0.500 0.500 0.500

Arrangement b

# TiNb3Au, optimized geometry, DFT GGA-PBEsol
# density = 8997 kg/m3
# crystal system = cubic
# space group = Pm-3m
data_TiNb3Au
_cell_length_a 4.589
_cell_length_b 4.589
_cell_length_c 4.589
_cell_angle_alpha 90.00
_cell_angle_beta 90.00
_cell_angle_gamma 90.00
_symmetry_space_group_name_H-M 'P 1'
_symmetry_Int_Tables_number 1
loop_
_symmetry_equiv_pos_as_xyz
'x,y,z'
loop_
_atom_site_label
_atom_site_type_symbol
_atom_site_fract_x
_atom_site_fract_y
_atom_site_fract_z
Nb1 Nb 0.500 0.000 0.000
Nb2 Nb 0.000 0.500 0.000
Nb3 Nb 0.000 0.000 0.500
Au1 Au 0.500 0.500 0.500
Ti1 Ti 0.000 0.000 0.000

Name the most stable of them. arrangement b.

Arrangement a

# NiAu5, optimized geometry, DFT GGA-PBEsol
# density = 18049 kg/m3
# crystal system = orthorhombic
# space group = Amm2
data_NiAu5
_cell_length_a 2.853
_cell_length_b 4.668
_cell_length_c 7.350
_cell_angle_alpha 90.00
_cell_angle_beta 101.19
_cell_angle_gamma 90.00
_symmetry_space_group_name_H-M 'P 1'
_symmetry_Int_Tables_number 1
loop_
_symmetry_equiv_pos_as_xyz
'x,y,z'
loop_
_atom_site_label
_atom_site_type_symbol
_atom_site_fract_x
_atom_site_fract_y
_atom_site_fract_z
Au1 Au 0.453 0.500 0.906
Au2 Au 0.771 0.500 0.541
Au3 Au 0.333 0.000 0.666
Au4 Au 0.001 0.000 0.003
Au5 Au 0.663 0.000 0.326
Ni1 Ni 0.112 0.500 0.225

Arrangement b

# NiAu5, optimized geometry, DFT GGA-PBEsol
# density = 18141 kg/m3
# crystal system = monoclinic
# space group = C2/m
data_NiAu5
_cell_length_a 2.902
_cell_length_b 4.987
_cell_length_c 7.487
_cell_angle_alpha 111.81
_cell_angle_beta 90.00
_cell_angle_gamma 106.91
_symmetry_space_group_name_H-M 'P 1'
_symmetry_Int_Tables_number 1
loop_
_symmetry_equiv_pos_as_xyz
'x,y,z'
loop_
_atom_site_label
_atom_site_type_symbol
_atom_site_fract_x
_atom_site_fract_y
_atom_site_fract_z
Au1 Au 0.362 0.724 0.205
Au2 Au 0.027 0.054 0.573
Au3 Au 0.040 0.080 0.044
Au4 Au 0.694 0.389 0.389
Au5 Au 0.349 0.697 0.733
Ni1 Ni 0.695 0.389 0.889

Name the most stable of them. arrangement b.